# 1
Below is crystalline LiCdTeMoBr at its relaxed geometry, with properties calculated at the PBE level.

```
LiCdTeMoBr
1.0
-2.868 -3.735 -3.306
2.883 -1.826 -0.438
-0.379 -3.551 12.304
Li Cd Te Mo Br
2 2 2 2 2
Direct
0.159 0.000 0.394 Li
0.159 0.500 0.894 Li
0.850 0.000 0.701 Cd
0.850 0.500 0.201 Cd
0.654 0.000 0.396 Te
0.654 0.500 0.896 Te
0.364 0.000 0.746 Mo
0.364 0.500 0.246 Mo
0.295 0.000 0.081 Br
0.295 0.500 0.581 Br
```

Computed properties:
Space-group type = No. 8
E_form (uncorrected) = -0.07 eV per atom
Volume = 236.91 Å³/cell
Density of states at the Fermi level = 2.10 states/eV/f.u.
ΔE to the lowest computed polymorph = 0.316 eV per atom
Uncorrected energy = -3.763 eV/atom



# 2
Below is crystalline Sm3Bi2As at its relaxed geometry, with properties calculated at the PBE level.

```
Sm3Bi2As
1.0
4.342 -0.001 -0.989
-0.225 4.336 -0.990
-0.020 -0.020 9.933
Sm Bi As
3 2 1
Direct
0.934 0.936 0.874 Sm
0.278 0.279 0.561 Sm
0.591 0.592 0.187 Sm
0.103 0.105 0.212 Bi
0.765 0.766 0.536 Bi
0.434 0.436 0.874 As
```

Computed properties:
Space-group type = No. 139
Volume = 186.87 Å³/cell
Density of states at the Fermi level = 0.84 states/eV/f.u.
Calculated formation energy = -6.50 eV/f.u.
Uncorrected energy = -5.512 eV/atom



# 3
Below is crystalline Sc6Bi2P at its relaxed geometry, with properties calculated at the PBE level.

```
Sc6Bi2P
1.0
6.347 0.000 0.000
0.000 6.347 0.000
0.000 0.000 12.852
Sc Bi P
12 4 2
Direct
0.307 0.307 0.364 Sc
0.693 0.693 0.364 Sc
0.193 0.807 0.864 Sc
0.807 0.193 0.864 Sc
0.193 0.807 0.136 Sc
0.807 0.193 0.136 Sc
0.307 0.307 0.636 Sc
0.693 0.693 0.636 Sc
0.287 0.287 0.000 Sc
0.713 0.713 0.000 Sc
0.213 0.787 0.500 Sc
0.787 0.213 0.500 Sc
0.000 0.000 0.321 Bi
0.500 0.500 0.821 Bi
0.500 0.500 0.179 Bi
0.000 0.000 0.679 Bi
0.000 0.000 0.000 P
0.500 0.500 0.500 P
```

Computed properties:
Space-group type = No. 136
Volume = 517.68 Å³/cell
Density of states at the Fermi level = 12.90 states/eV/f.u.
Calculated formation energy = -2.80 eV/f.u.
Uncorrected energy = -5.996 eV/atom



# 4
Below is crystalline Sm2BeGe3Pt4 at its relaxed geometry, with properties calculated at the PBE level.

```
Sm2BeGe3Pt4
1.0
-1.177 -3.822 -1.474
-0.202 -1.477 3.993
-9.713 2.783 0.537
Sm Be Ge Pt
2 1 3 4
Direct
0.500 0.000 0.261 Sm
0.000 0.500 0.739 Sm
0.500 0.500 0.500 Be
0.000 0.000 0.500 Ge
0.500 0.000 0.862 Ge
0.000 0.500 0.138 Ge
0.500 0.500 0.000 Pt
0.000 0.000 0.000 Pt
0.500 0.000 0.620 Pt
0.000 0.500 0.380 Pt
```

Computed properties:
Space-group type = No. 115
Volume = 183.77 Å³/cell
Density of states at the Fermi level = 4.77 states/eV/f.u.
Calculated formation energy = -9.07 eV/f.u.
Uncorrected energy = -6.025 eV/atom



# 5
Below is crystalline ZrTiSiSe2 at its relaxed geometry, with properties calculated at the PBE level.

```
ZrTiSiSe2
1.0
-0.668 -4.984 0.807
3.388 -1.069 -3.792
3.804 0.039 3.387
Si Se Zr Ti
1 2 1 1
Direct
0.500 0.500 0.500 Si
0.000 0.000 0.500 Se
0.500 0.000 0.000 Se
0.000 0.000 0.000 Zr
0.000 0.500 0.000 Ti
```

Computed properties:
Space-group type = No. 123
E_form (uncorrected) = 0.60 eV per atom
Volume = 134.82 Å³/cell
Density of states at the Fermi level = 5.61 states/eV/f.u.
Uncorrected energy = -5.168 eV/atom



# 6
Below is crystalline TbY3Ho2Sb6 at its relaxed geometry, with properties calculated at the PBE level.

```
TbY3Ho2Sb6
1.0
7.597 -0.001 0.001
-3.798 6.580 0.001
-1.266 -2.193 7.158
Tb Y Ho Sb
1 3 2 6
Direct
0.000 0.000 0.000 Tb
0.166 0.834 0.500 Y
0.834 0.166 0.500 Y
0.500 0.500 0.500 Y
0.333 0.667 0.000 Ho
0.667 0.333 0.000 Ho
0.917 0.582 0.751 Sb
0.748 0.748 0.249 Sb
0.083 0.418 0.249 Sb
0.582 0.917 0.751 Sb
0.252 0.252 0.751 Sb
0.418 0.083 0.249 Sb
```

Computed properties:
Space-group type = No. 12
E_form (uncorrected) = -1.15 eV per atom
Volume = 357.85 Å³/cell
Density of states at the Fermi level = 2.21 states/eV/f.u.
Uncorrected energy = -5.971 eV/atom



# 7
Below is crystalline Ba2Re2Cl at its relaxed geometry, with properties calculated at the PBE level.

```
Ba2Re2Cl
1.0
-4.025 -7.087 -4.779
6.821 0.520 -6.516
1.889 -2.284 1.796
Re Ba Cl
4 4 2
Direct
0.082 0.582 0.500 Re
0.582 0.918 0.500 Re
0.918 0.418 0.500 Re
0.418 0.082 0.500 Re
0.303 0.803 0.000 Ba
0.803 0.697 0.000 Ba
0.697 0.197 0.000 Ba
0.197 0.303 0.000 Ba
0.000 0.000 0.000 Cl
0.500 0.500 0.000 Cl
```

Computed properties:
Space-group type = No. 127
E_form (uncorrected) = 0.57 eV per atom
Volume = 309.35 Å³/cell
Density of states at the Fermi level = 5.18 states/eV/f.u.
ΔE to the lowest computed polymorph = 0.757 eV per atom
Uncorrected energy = -5.543 eV/atom



# 8
Below is crystalline Ce2TlPdS4 at its relaxed geometry, with properties calculated at the PBE level.

```
Ce2TlPdS4
1.0
4.106 0.000 0.000
-2.053 6.853 0.000
0.000 0.000 14.060
Ce Tl Pd S
4 2 2 8
Direct
0.367 0.734 0.567 Ce
0.633 0.266 0.067 Ce
0.633 0.266 0.433 Ce
0.367 0.734 0.933 Ce
0.112 0.224 0.750 Tl
0.888 0.776 0.250 Tl
0.835 0.670 0.750 Pd
0.165 0.330 0.250 Pd
0.263 0.527 0.105 S
0.737 0.473 0.605 S
0.737 0.473 0.895 S
0.263 0.527 0.395 S
0.000 0.000 0.500 S
0.000 0.000 0.000 S
0.435 0.870 0.750 S
0.565 0.130 0.250 S
```

Computed properties:
Space-group type = No. 63
E_form (uncorrected) = -1.41 eV per atom
Volume = 395.57 Å³/cell
Density of states at the Fermi level = 9.14 states/eV/f.u.
Uncorrected energy = -5.906 eV/atom



# 9
Below is crystalline Ca2ScTc at its relaxed geometry, with properties calculated at the PBE level.

```
Ca2ScTc
1.0
-0.410 -8.804 -0.879
2.661 -8.245 -1.843
1.442 -1.474 3.741
Sc Ca Tc
1 2 1
Direct
0.750 0.750 0.750 Sc
0.908 0.908 0.092 Ca
0.592 0.592 0.408 Ca
0.250 0.250 0.250 Tc
```

Computed properties:
Space-group type = No. 71
Volume = 117.80 Å³/cell
Density of states at the Fermi level = 4.32 states/eV/f.u.
ΔE to the lowest computed polymorph = 0.132 eV per atom
Calculated formation energy = 1.03 eV/f.u.
Uncorrected energy = -4.917 eV/atom



# 10
Below is crystalline Ca8SnHg2 at its relaxed geometry, with properties calculated at the PBE level.

```
Ca8SnHg2
1.0
4.920 0.000 -1.497
-1.283 7.421 -4.215
0.190 0.385 9.455
Ca Sn Hg
8 1 2
Direct
0.665 0.884 0.329 Ca
0.335 0.555 0.671 Ca
0.142 0.142 0.284 Ca
0.000 0.306 0.000 Ca
0.858 0.858 0.716 Ca
0.665 0.445 0.329 Ca
0.335 0.116 0.671 Ca
0.000 0.694 0.000 Ca
0.500 0.000 0.000 Sn
0.186 0.686 0.372 Hg
0.814 0.314 0.628 Hg
```

Computed properties:
Space-group type = No. 71
Volume = 356.00 Å³/cell
Density of states at the Fermi level = 4.98 states/eV/f.u.
Calculated formation energy = -3.65 eV/f.u.
Uncorrected energy = -2.206 eV/atom



# 11
Below is crystalline PmZn2Rh3 at its relaxed geometry, with properties calculated at the PBE level.

```
PmZn2Rh3
1.0
-1.978 3.356 0.985
-3.435 -0.799 -4.177
-1.134 -2.110 4.913
Pm Zn Rh
1 2 3
Direct
0.000 0.000 0.000 Pm
0.000 0.667 0.333 Zn
0.000 0.333 0.667 Zn
0.500 0.000 0.500 Rh
0.500 0.500 0.500 Rh
0.500 0.500 0.000 Rh
```

Computed properties:
Space-group type = No. 191
Volume = 103.98 Å³/cell
Density of states at the Fermi level = 3.27 states/eV/f.u.
Calculated formation energy = -3.05 eV/f.u.
Uncorrected energy = -5.401 eV/atom



# 12
Below is crystalline Tl2CdSe2 at its relaxed geometry, with properties calculated at the PBE level.

```
Tl2CdSe2
1.0
8.339 0.000 -0.042
0.000 7.710 0.000
-1.068 0.000 9.860
Tl Cd Se
8 4 8
Direct
0.524 0.269 0.059 Tl
0.024 0.231 0.059 Tl
0.976 0.769 0.941 Tl
0.476 0.731 0.941 Tl
0.940 0.652 0.325 Tl
0.440 0.848 0.325 Tl
0.560 0.152 0.675 Tl
0.060 0.348 0.675 Tl
0.327 0.407 0.375 Cd
0.673 0.593 0.625 Cd
0.827 0.093 0.375 Cd
0.173 0.907 0.625 Cd
0.744 0.923 0.142 Se
0.244 0.577 0.142 Se
0.756 0.423 0.858 Se
0.256 0.077 0.858 Se
0.659 0.386 0.397 Se
0.159 0.114 0.397 Se
0.841 0.886 0.603 Se
0.341 0.614 0.603 Se
```

Computed properties:
Space-group type = No. 14
E_form (uncorrected) = -0.44 eV per atom
Volume = 633.59 Å³/cell
ΔE to the lowest computed polymorph = 0.000 eV per atom
Uncorrected energy = -2.962 eV/atom